NaY2Tl2 | SCAN | PBEsol geometry

Lattice parameters (Å, degrees): 8.168 8.168 4.136 90.00 90.00 90.00
Fractional coordinates of all 10 atoms:
1 Na 0.000 0.000 0.000
2 Na 0.500 0.500 0.000
3 Y 0.165 0.335 0.500
4 Y 0.335 0.835 0.500
5 Y 0.665 0.165 0.500
6 Y 0.835 0.665 0.500
7 Tl 0.135 0.635 0.000
8 Tl 0.365 0.135 0.000
9 Tl 0.635 0.865 0.000
10 Tl 0.865 0.365 0.000

Computed properties:
Calculated volume   27.6 Å³ per atom
Energy of formation from the pure elements   -450 meV/atom
Space-group type   No. 127

=====

NaZnW2 | SCAN | PBEsol geometry

Lattice parameters (Å, degrees): 4.421 4.421 4.421 60.00 60.00 60.00
Fractional coordinates of all 4 atoms:
1 Na 0.000 0.000 0.000
2 Zn 0.500 0.500 0.500
3 W 0.250 0.250 0.250
4 W 0.750 0.750 0.750

Computed properties:
Calculated volume   15.3 Å³ per atom
Energy of formation from the pure elements   1506 meV/atom
Space-group type   No. 225

=====

NaY2Zn2 | SCAN | PBEsol geometry

Lattice parameters (Å, degrees): 10.818 10.818 10.818 161.08 161.08 26.88
Fractional coordinates of all 5 atoms:
1 Na 0.000 0.000 0.000
2 Y 0.367 0.367 0.000
3 Y 0.633 0.633 0.000
4 Zn 0.250 0.750 0.500
5 Zn 0.750 0.250 0.500

Computed properties:
Calculated volume   26.6 Å³ per atom
Energy of formation from the pure elements   160 meV/atom
Space-group type   No. 139

=====

NaYZn2 | SCAN | PBEsol geometry

Lattice parameters (Å, degrees): 4.889 4.889 4.889 60.00 60.00 60.00
Fractional coordinates of all 4 atoms:
1 Na 0.000 0.000 0.000
2 Y 0.500 0.500 0.500
3 Zn 0.250 0.250 0.250
4 Zn 0.750 0.750 0.750

Computed properties:
Calculated volume   20.7 Å³ per atom
Energy of formation from the pure elements   -141 meV/atom
Space-group type   No. 225

=====

NaZn13 | SCAN | PBEsol geometry

Lattice parameters (Å, degrees): 8.497 8.497 8.497 60.00 60.00 60.00
Fractional coordinates of all 28 atoms:
1 Na 0.250 0.250 0.250
2 Na 0.750 0.750 0.750
3 Zn 0.000 0.000 0.000
4 Zn 0.061 0.300 0.700
5 Zn 0.061 0.700 0.939
6 Zn 0.061 0.939 0.300
7 Zn 0.200 0.439 0.800
8 Zn 0.200 0.561 0.439
9 Zn 0.200 0.800 0.561
10 Zn 0.300 0.061 0.939
11 Zn 0.300 0.700 0.061
12 Zn 0.300 0.939 0.700
13 Zn 0.439 0.200 0.561
14 Zn 0.439 0.561 0.800
15 Zn 0.439 0.800 0.200
16 Zn 0.500 0.500 0.500
17 Zn 0.561 0.200 0.800
18 Zn 0.561 0.439 0.200
19 Zn 0.561 0.800 0.439
20 Zn 0.700 0.061 0.300
21 Zn 0.700 0.300 0.939
22 Zn 0.700 0.939 0.061
23 Zn 0.800 0.200 0.439
24 Zn 0.800 0.439 0.561
25 Zn 0.800 0.561 0.200
26 Zn 0.939 0.061 0.700
27 Zn 0.939 0.300 0.061
28 Zn 0.939 0.700 0.300

Computed properties:
Calculated volume   15.5 Å³ per atom
Energy of formation from the pure elements   -103 meV/atom
Space-group type   No. 226

=====

NaZr3Zn | SCAN | PBEsol geometry

Lattice parameters (Å, degrees): 4.876 4.876 4.876 90.00 90.00 90.00
Fractional coordinates of all 5 atoms:
1 Na 0.000 0.000 0.000
2 Zr 0.000 0.000 0.500
3 Zr 0.000 0.500 0.000
4 Zr 0.500 0.000 0.000
5 Zn 0.500 0.500 0.500

Computed properties:
Calculated volume   23.2 Å³ per atom
Energy of formation from the pure elements   1461 meV/atom
Space-group type   No. 221

=====

Nd2Nb2S7O30 | SCAN | PBEsol geometry

Lattice parameters (Å, degrees): 12.916 12.916 7.159 90.00 90.00 90.00
Fractional coordinates of all 82 atoms:
1 Nd 0.197 0.303 0.095
2 Nd 0.303 0.803 0.905
3 Nd 0.697 0.197 0.905
4 Nd 0.803 0.697 0.095
5 Nb 0.137 0.637 0.518
6 Nb 0.363 0.137 0.482
7 Nb 0.637 0.863 0.482
8 Nb 0.863 0.363 0.518
9 S 0.000 0.500 0.156
10 S 0.066 0.823 0.203
11 S 0.123 0.377 0.606
12 S 0.177 0.066 0.797
13 S 0.323 0.566 0.203
14 S 0.377 0.877 0.394
15 S 0.434 0.323 0.797
16 S 0.500 0.000 0.844
17 S 0.566 0.677 0.797
18 S 0.623 0.123 0.394
19 S 0.677 0.434 0.203
20 S 0.823 0.934 0.797
21 S 0.877 0.623 0.606
22 S 0.934 0.177 0.203
23 O 0.008 0.359 0.630
24 O 0.041 0.210 0.174
25 O 0.066 0.077 0.767
26 O 0.066 0.434 0.041
27 O 0.066 0.566 0.278
28 O 0.077 0.934 0.233
29 O 0.106 0.768 0.379
30 O 0.132 0.789 0.047
31 O 0.141 0.492 0.630
32 O 0.155 0.345 0.421
33 O 0.176 0.324 0.757
34 O 0.199 0.699 0.708
35 O 0.210 0.959 0.826
36 O 0.211 0.132 0.953
37 O 0.232 0.106 0.621
38 O 0.268 0.606 0.379
39 O 0.289 0.632 0.047
40 O 0.290 0.459 0.174
41 O 0.301 0.199 0.292
42 O 0.324 0.824 0.243
43 O 0.345 0.845 0.579
44 O 0.359 0.992 0.370
45 O 0.368 0.289 0.953
46 O 0.394 0.268 0.621
47 O 0.423 0.434 0.767
48 O 0.434 0.066 0.722
49 O 0.434 0.577 0.233
50 O 0.434 0.934 0.959
51 O 0.459 0.710 0.826
52 O 0.492 0.859 0.370
53 O 0.508 0.141 0.370
54 O 0.541 0.290 0.826
55 O 0.566 0.066 0.959
56 O 0.566 0.423 0.233
57 O 0.566 0.934 0.722
58 O 0.577 0.566 0.767
59 O 0.606 0.732 0.621
60 O 0.632 0.711 0.953
61 O 0.641 0.008 0.370
62 O 0.655 0.155 0.579
63 O 0.676 0.176 0.243
64 O 0.699 0.801 0.292
65 O 0.710 0.541 0.174
66 O 0.711 0.368 0.047
67 O 0.732 0.394 0.379
68 O 0.768 0.894 0.621
69 O 0.789 0.868 0.953
70 O 0.790 0.041 0.826
71 O 0.801 0.301 0.708
72 O 0.824 0.676 0.757
73 O 0.845 0.655 0.421
74 O 0.859 0.508 0.630
75 O 0.868 0.211 0.047
76 O 0.894 0.232 0.379
77 O 0.923 0.066 0.233
78 O 0.934 0.434 0.278
79 O 0.934 0.566 0.041
80 O 0.934 0.923 0.767
81 O 0.959 0.790 0.174
82 O 0.992 0.641 0.630

Computed properties:
Calculated volume   14.6 Å³ per atom
Formation energy without anion corrections   -81.265 eV per formula unit
Space-group type   No. 113

=====

Nd2ScNbO7 | SCAN | PBEsol geometry

Lattice parameters (Å, degrees): 7.443 7.443 7.443 120.62 119.31 90.07
Fractional coordinates of all 22 atoms:
1 Nd 0.000 0.000 0.000
2 Nd 0.500 0.000 0.000
3 Nd 0.500 0.000 0.500
4 Nd 0.500 0.500 0.500
5 Sc 0.000 0.000 0.500
6 Sc 0.000 0.500 0.000
7 Nb 0.000 0.500 0.500
8 Nb 0.500 0.500 0.000
9 O 0.090 0.425 0.266
10 O 0.090 0.825 0.665
11 O 0.093 0.843 0.250
12 O 0.321 0.571 0.750
13 O 0.341 0.175 0.766
14 O 0.341 0.575 0.165
15 O 0.377 0.127 0.250
16 O 0.623 0.873 0.750
17 O 0.659 0.425 0.835
18 O 0.659 0.825 0.234
19 O 0.679 0.429 0.250
20 O 0.907 0.157 0.750
21 O 0.910 0.175 0.335
22 O 0.910 0.575 0.734

Computed properties:
Calculated volume   13.3 Å³ per atom
Formation energy without anion corrections   -38.868 eV per formula unit
Space-group type   No. 74

=====

NbNi2 | SCAN | PBEsol geometry

Lattice parameters (Å, degrees): 4.745 4.745 4.745 60.00 60.00 60.00
Fractional coordinates of all 6 atoms:
1 Nb 0.125 0.125 0.125
2 Nb 0.875 0.875 0.875
3 Ni 0.000 0.500 0.500
4 Ni 0.500 0.000 0.500
5 Ni 0.500 0.500 0.000
6 Ni 0.500 0.500 0.500

Computed properties:
Calculated volume   12.6 Å³ per atom
Energy of formation from the pure elements   -212 meV/atom
Space-group type   No. 227

=====

Nb6Ni7 | SCAN | PBEsol geometry

Lattice parameters (Å, degrees): 9.153 9.153 9.153 30.58 30.58 30.58
Fractional coordinates of all 13 atoms:
1 Nb 0.049 0.049 0.049
2 Nb 0.156 0.156 0.156
3 Nb 0.331 0.331 0.331
4 Nb 0.669 0.669 0.669
5 Nb 0.844 0.844 0.844
6 Nb 0.951 0.951 0.951
7 Ni 0.091 0.591 0.591
8 Ni 0.409 0.409 0.909
9 Ni 0.409 0.909 0.409
10 Ni 0.500 0.500 0.500
11 Ni 0.591 0.091 0.591
12 Ni 0.591 0.591 0.091
13 Ni 0.909 0.409 0.409

Computed properties:
Calculated volume   13.5 Å³ per atom
Energy of formation from the pure elements   -211 meV/atom
Space-group type   No. 166

=====

NbNi3 | SCAN | PBEsol geometry

Lattice parameters (Å, degrees): 4.198 5.058 4.506 90.00 90.00 90.00
Fractional coordinates of all 8 atoms:
1 Nb 0.250 0.250 0.151
2 Nb 0.750 0.750 0.849
3 Ni 0.250 0.001 0.659
4 Ni 0.250 0.499 0.659
5 Ni 0.250 0.750 0.184
6 Ni 0.750 0.250 0.816
7 Ni 0.750 0.501 0.341
8 Ni 0.750 0.999 0.341

Computed properties:
Calculated volume   12.0 Å³ per atom
Energy of formation from the pure elements   -261 meV/atom
Space-group type   No. 59

=====

NbNi3 | SCAN | PBEsol geometry

Lattice parameters (Å, degrees): 4.488 4.488 4.488 132.69 132.69 69.13
Fractional coordinates of all 4 atoms:
1 Nb 0.000 0.000 0.000
2 Ni 0.250 0.750 0.500
3 Ni 0.500 0.500 0.000
4 Ni 0.750 0.250 0.500

Computed properties:
Calculated volume   12.0 Å³ per atom
Energy of formation from the pure elements   -252 meV/atom
Space-group type   No. 139

=====

Number 1: magnetic moment 0.58 μB per cell. Number 2: magnetic moment 0.00 μB per cell. Number 3: magnetic moment 0.04 μB per cell. Number 4: magnetic moment 0.00 μB per cell. Number 5: magnetic moment 0.00 μB per cell. Number 6: magnetic moment 0.00 μB per cell. Number 7: magnetic moment 4.29 μB per cell. Number 8: magnetic moment 0.00 μB per cell. Number 9: magnetic moment 2.74 μB per cell. Number 10: magnetic moment 0.01 μB per cell. Number 11: magnetic moment 0.00 μB per cell. Number 12: magnetic moment 0.00 μB per cell.